[1]
# Zn5Co4

A PBEsol-optimized structure of Zn5Co4 (meta-GGA SCAN, Alexandria).

Formation energy from the elements ... -0.29 kcal/mol of atoms
E ... -15.21 eV/atom

abc: 3.6743 5.6631 5.6631
angles: 83.96 71.07 71.07
Last column: nearest neighbours and their distance in Å.
Sites, in units of the cell vectors:
Zn1 0.3294 0.0000 0.3412  6 Co 2.50-2.60, 6 Zn 2.50-2.59
Co1 0.6556 0.3444 0.3444  5 Co 2.36-2.48, 7 Zn 2.50-2.61
Zn2 0.0000 0.0000 0.0000  8 Zn 2.59, 4 Co 2.61
Zn3 0.6706 0.0000 0.6588  6 Co 2.50-2.60, 6 Zn 2.50-2.59
Co2 0.0000 0.6556 0.3444  5 Co 2.36-2.48, 7 Zn 2.50-2.61
Zn4 0.6706 0.6588 0.0000  6 Co 2.50-2.60, 6 Zn 2.50-2.59
Co3 0.3444 0.6556 0.6556  5 Co 2.36-2.48, 7 Zn 2.50-2.61
Co4 0.0000 0.3444 0.6556  5 Co 2.36-2.48, 7 Zn 2.50-2.61
Zn5 0.3294 0.3412 0.0000  6 Co 2.50-2.60, 6 Zn 2.50-2.59

---

[2]
# Zn3Co

A PBEsol-optimized structure of Zn3Co (meta-GGA SCAN, Alexandria).

Formation energy from the elements ... 1.04 kcal/mol of atoms
E ... -14.42 eV/atom

abc: 2.6436 2.6436 8.4279
angles: 90.00 90.00 120.00
Last column: nearest neighbours and their distance in Å.
Sites, in units of the cell vectors:
Zn1 0.6667 0.3333 0.2344  3 Co 2.50, 9 Zn 2.64-2.71
Zn2 0.6667 0.3333 0.7656  3 Co 2.50, 9 Zn 2.64-2.71
Zn3 0.0000 0.0000 0.5000  12 Zn 2.64-2.71
Co1 0.0000 0.0000 0.0000  6 Zn 2.50, 6 Co 2.64

---

[3]
# Zn3Co

A PBEsol-optimized structure of Zn3Co (meta-GGA SCAN, Alexandria).

Formation energy from the elements ... 0.69 kcal/mol of atoms
E ... -14.43 eV/atom

abc: 2.7515 4.3132 4.8963
angles: 116.13 106.32 90.00
Last column: nearest neighbours and their distance in Å.
Sites, in units of the cell vectors:
Zn1 0.7395 0.0919 0.4791  3 Co 2.50-2.68, 9 Zn 2.56-2.75
Zn2 0.2605 0.6129 0.5209  3 Co 2.50-2.68, 9 Zn 2.56-2.75
Co1 0.0000 0.9876 0.0000  10 Zn 2.50-2.68, 2 Co 2.75
Zn3 0.5000 0.4743 0.0000  4 Co 2.51-2.61, 8 Zn 2.58-2.75

---

[4]
# ZnCo

A PBEsol-optimized structure of ZnCo (meta-GGA SCAN, Alexandria).

Formation energy from the elements ... 1.66 kcal/mol of atoms
E ... -15.34 eV/atom

abc: 2.5586 4.1341 4.3777
angles: 90.00 90.00 90.00
Last column: nearest neighbours and their distance in Å.
Sites, in units of the cell vectors:
Co1 0.0000 0.0000 0.5779  6 Zn 2.49-2.58, 6 Co 2.52-2.56
Zn1 0.0000 0.5000 0.9102  6 Co 2.49-2.58, 6 Zn 2.55-2.56
Co2 0.5000 0.5000 0.4221  6 Zn 2.49-2.58, 6 Co 2.52-2.56
Zn2 0.5000 0.0000 0.0898  6 Co 2.49-2.58, 6 Zn 2.55-2.56

---

[5]
# ZnCo5

A PBEsol-optimized structure of ZnCo5 (meta-GGA SCAN, Alexandria).

Formation energy from the elements ... 0.66 kcal/mol of atoms
E ... -16.64 eV/atom

abc: 3.5174 3.5253 5.4782
angles: 71.23 90.00 90.00
Last column: nearest neighbours and their distance in Å.
Sites, in units of the cell vectors:
Zn1 0.0000 0.5000 0.0000  12 Co 2.49-2.51
Co1 0.5000 0.6706 0.6587  10 Co 2.39-2.50, 2 Zn 2.50
Co2 0.0000 0.8274 0.3453  10 Co 2.38-2.51, 2 Zn 2.51
Co3 0.0000 0.1726 0.6547  10 Co 2.38-2.51, 2 Zn 2.51
Co4 0.5000 0.3294 0.3413  10 Co 2.39-2.50, 2 Zn 2.50
Co5 0.5000 0.0000 0.0000  4 Zn 2.49, 8 Co 2.50-2.51

---

[6]
# ZnCo

A PBEsol-optimized structure of ZnCo (meta-GGA SCAN, Alexandria).

Formation energy from the elements ... 1.30 kcal/mol of atoms
E ... -15.35 eV/atom

abc: 2.5557 2.5557 4.1210
angles: 90.00 90.00 120.00
Last column: nearest neighbours and their distance in Å.
Sites, in units of the cell vectors:
Zn1 0.3333 0.6667 0.0000  6 Co 2.53, 6 Zn 2.56
Co1 0.0000 0.0000 0.5000  6 Zn 2.53, 6 Co 2.56

---

[7]
# ZnCo2

A PBEsol-optimized structure of ZnCo2 (meta-GGA SCAN, Alexandria).

Formation energy from the elements ... 1.63 kcal/mol of atoms
E ... -15.97 eV/atom

abc: 2.5479 4.0845 6.5259
angles: 90.00 101.26 90.00
Last column: nearest neighbours and their distance in Å.
Sites, in units of the cell vectors:
Zn1 0.8907 0.2500 0.7814  10 Co 2.49-2.52, 2 Zn 2.55
Co1 0.5586 0.2500 0.1171  6 Co 2.44-2.55, 6 Zn 2.49-2.50
Co2 0.7791 0.7500 0.5581  8 Co 2.44-2.55, 4 Zn 2.49-2.52
Co3 0.2209 0.2500 0.4419  8 Co 2.44-2.55, 4 Zn 2.49-2.52
Co4 0.4414 0.7500 0.8829  6 Co 2.44-2.55, 6 Zn 2.49-2.50
Zn2 0.1093 0.7500 0.2186  10 Co 2.49-2.52, 2 Zn 2.55

---

[8]
# ZnCo2

A PBEsol-optimized structure of ZnCo2 (meta-GGA SCAN, Alexandria).

Formation energy from the elements ... 0.25 kcal/mol of atoms
E ... -16.03 eV/atom

abc: 2.5721 2.5721 5.3503
angles: 103.91 103.91 90.00
Last column: nearest neighbours and their distance in Å.
Sites, in units of the cell vectors:
Co1 0.3244 0.3244 0.6487  8 Co 2.36-2.57, 4 Zn 2.54
Zn1 0.0000 0.0000 0.0000  8 Co 2.54, 4 Zn 2.57
Co2 0.6756 0.6756 0.3513  8 Co 2.36-2.57, 4 Zn 2.54